First-principles (PBE-GGA) data for a relaxed structure of NpScN2, as listed in Alexandria.

Cell: 3.304 3.304 11.048 Å, 90.00 90.00 120.00°
Sites, in units of the cell vectors:
1 Np 0.000 0.000 0.500
2 Np 0.000 0.000 0.000
3 Sc 0.667 0.333 0.250
4 Sc 0.333 0.667 0.750
5 N 0.333 0.667 0.374
6 N 0.667 0.333 0.874
7 N 0.667 0.333 0.626
8 N 0.333 0.667 0.126

**Crystal system**: hexagonal
**Uncorrected formation energy**: -1.388 eV per atom
**Density of states at the Fermi level**: 9.52 states/eV per cell
**Spin magnetization**: 2.7 μB per formula unit